VASP calculation (PBE) on a relaxed structure of LaCuSi.

Unit cell a=4.1845 b=4.1845 c=4.2514 alpha=90.00 beta=90.00 gamma=120.00
Closest atoms and distances in Å follow each position.
Fractional positions:
La 0.0000 0.0000 0.0000  6 Si 3.22, 6 Cu 3.22
Cu 0.6667 0.3333 0.5000  3 Si 2.42
Si 0.3333 0.6667 0.5000  3 Cu 2.42

Computed properties:
Symmetry: No. 187

VASP calculation (PBE) on a relaxed structure of LaCu4Si2.

Unit cell a=6.6792 b=6.6792 c=4.1811 alpha=90.00 beta=90.00 gamma=143.70
Closest atoms and distances in Å follow each position.
Fractional positions:
La 0.0000 0.0000 0.0000  8 Cu 3.18-3.20, 8 Si 3.20
Cu 0.1912 0.8088 0.5000  3 Si 2.39-2.67, 4 Cu 2.56-2.58
Cu 0.3106 0.6894 0.0000  2 Si 2.39, 4 Cu 2.58-2.59
Cu 0.6894 0.3106 0.0000  2 Si 2.39, 4 Cu 2.58-2.59
Cu 0.8088 0.1912 0.5000  3 Si 2.39-2.67, 4 Cu 2.56-2.58
Si 0.4017 0.5983 0.5000  5 Cu 2.39-2.67, 1 Si 2.50
Si 0.5983 0.4017 0.5000  5 Cu 2.39-2.67, 1 Si 2.50

Computed properties:
Symmetry: No. 65

VASP calculation (PBE) on a relaxed structure of La4Cu3Si.

Unit cell a=4.2230 b=4.3121 c=11.0889 alpha=90.00 beta=90.00 gamma=90.00
Closest atoms and distances in Å follow each position.
Fractional positions:
La 0.0000 0.0000 0.0000  2 Si 3.15, 5 Cu 3.16-3.26
La 0.0000 0.5000 0.2896  3 Cu 3.09-3.22, 4 Si 3.14
La 0.5000 0.0000 0.4963  6 Cu 3.14-3.16, 1 Si 3.17
La 0.5000 0.5000 0.7862  7 Cu 3.11-3.32
Cu 0.0000 0.0000 0.7058  2 Cu 2.57
Cu 0.0000 0.5000 0.5797  2 Cu 2.57
Cu 0.5000 0.5000 0.0860  2 Si 2.56
Si 0.5000 0.0000 0.2107  2 Cu 2.56

Computed properties:
Symmetry: No. 25

VASP calculation (PBE) on a relaxed structure of LaCu2Si.

Unit cell a=5.5263 b=5.5263 c=2.9801 alpha=103.53 beta=103.53 gamma=113.08
Closest atoms and distances in Å follow each position.
Fractional positions:
La 0.0000 0.0000 0.0000  4 Cu 2.82, 2 La 2.98, 2 Si 3.05
Cu 0.0000 0.5000 0.5000  2 Si 2.82, 2 La 2.82, 4 Cu 2.98-3.05
Cu 0.5000 0.0000 0.5000  2 Si 2.82, 2 La 2.82, 4 Cu 2.98-3.05
Si 0.5000 0.5000 0.0000  4 Cu 2.82, 2 Si 2.98, 2 La 3.05

Computed properties:
Symmetry: No. 12

VASP calculation (PBE) on a relaxed structure of La2Cu6Si3.

Unit cell a=7.3602 b=7.3602 c=4.0827 alpha=90.00 beta=90.00 gamma=120.00
Closest atoms and distances in Å follow each position.
Fractional positions:
La 0.3333 0.6667 0.0000  9 Cu 3.10-3.29, 6 Si 3.13
La 0.6667 0.3333 0.0000  9 Cu 3.10-3.29, 6 Si 3.13
Cu 0.0000 0.1935 0.0000  2 Si 2.36, 2 Cu 2.47
Cu 0.0000 0.7000 0.5000  3 Si 2.44-2.54
Cu 0.1935 0.0000 0.0000  2 Si 2.36, 2 Cu 2.47
Cu 0.3000 0.3000 0.5000  3 Si 2.44-2.54
Cu 0.7000 0.0000 0.5000  3 Si 2.44-2.54
Cu 0.8065 0.8065 0.0000  2 Si 2.36, 2 Cu 2.47
Si 0.0000 0.3550 0.5000  5 Cu 2.36-2.54
Si 0.3550 0.0000 0.5000  5 Cu 2.36-2.54
Si 0.6450 0.6450 0.5000  5 Cu 2.36-2.54

Computed properties:
Symmetry: No. 189

VASP calculation (PBE) on a relaxed structure of LaCuSi.

Unit cell a=3.9161 b=5.9771 c=6.0331 alpha=96.27 beta=108.90 gamma=109.05
Closest atoms and distances in Å follow each position.
Fractional positions:
La 0.0000 0.0000 0.0000  4 Cu 3.12-3.22, 6 Si 3.13-3.36, 1 La 3.30
La 0.4326 0.2864 0.5762  5 Si 3.03-3.36, 5 Cu 3.15-3.35, 1 La 3.30
Cu 0.1645 0.7288 0.5992  2 Si 2.42-2.47, 2 Cu 2.48
Cu 0.5812 0.8022 0.3590  1 Si 2.40, 2 Cu 2.48
Si 0.2550 0.5588 0.9508  2 Cu 2.40-2.42, 2 Si 2.46-2.47
Si 0.8297 0.4767 0.1817  2 Si 2.46-2.47, 3 Cu 2.47-2.71

Computed properties:
Symmetry: No. 1

VASP calculation (PBE) on a relaxed structure of LaCu2Si.

Unit cell a=8.5877 b=8.5877 c=8.5877 alpha=148.47 beta=148.47 gamma=45.20
Closest atoms and distances in Å follow each position.
Fractional positions:
La 0.3750 0.6250 0.7500  8 Cu 3.28, 4 Si 3.30
La 0.6250 0.3750 0.2500  8 Cu 3.28, 4 Si 3.30
Cu 0.0000 0.0000 0.0000  2 Si 2.30, 2 Cu 2.33
Cu 0.0000 0.0000 0.5000  2 Si 2.30, 2 Cu 2.33
Cu 0.0000 0.5000 0.0000  2 Si 2.30, 2 Cu 2.33
Cu 0.5000 0.0000 0.5000  2 Si 2.30, 2 Cu 2.33
Si 0.1250 0.8750 0.2500  4 Cu 2.30
Si 0.8750 0.1250 0.7500  4 Cu 2.30

Computed properties:
Symmetry: No. 141

VASP calculation (PBE) on a relaxed structure of La2CuSi3.

Unit cell a=4.1356 b=4.1356 c=8.6877 alpha=90.00 beta=90.00 gamma=120.00
Closest atoms and distances in Å follow each position.
Fractional positions:
La 0.0000 0.0000 0.2480  3 Cu 3.22, 9 Si 3.22-3.24
La 0.0000 0.0000 0.7520  3 Cu 3.22, 9 Si 3.22-3.24
Cu 0.3333 0.6667 0.0000  3 Si 2.39
Si 0.3333 0.6667 0.5000  3 Si 2.39
Si 0.6667 0.3333 0.0000  3 Cu 2.39
Si 0.6667 0.3333 0.5000  3 Si 2.39

Computed properties:
Symmetry: No. 187

VASP calculation (PBE) on a relaxed structure of LaCuSi.

Unit cell a=4.1422 b=4.1452 c=9.3581 alpha=102.54 beta=90.08 gamma=119.97
Closest atoms and distances in Å follow each position.
Fractional positions:
La 0.0000 0.0000 0.0000  4 Si 2.97-3.31, 6 Cu 3.14-3.17
La 0.1547 0.3123 0.4610  3 Si 3.06, 6 Cu 3.18-3.21
Cu 0.4096 0.8214 0.2268  3 Cu 2.39
Cu 0.7430 0.4882 0.2277  3 Cu 2.39
Si 0.5833 0.1677 0.7486  3 Si 2.49
Si 0.8912 0.7840 0.6720  3 Si 2.49

Computed properties:
Symmetry: No. 1

VASP calculation (PBE) on a relaxed structure of LaCuSi.

Unit cell a=5.0379 b=5.0379 c=5.0379 alpha=136.06 beta=127.39 gamma=70.89
Closest atoms and distances in Å follow each position.
Fractional positions:
La 0.0000 0.0000 0.0000  5 Cu 2.91-3.15, 5 Si 2.94-3.15
Cu 0.3550 0.3550 0.0000  1 Si 2.36
Si 0.6420 0.6420 0.0000  1 Cu 2.36

Computed properties:
Symmetry: No. 44

VASP calculation (PBE) on a relaxed structure of LaCuSi.

Unit cell a=6.0150 b=5.9810 c=3.2858 alpha=74.67 beta=73.53 gamma=31.79
Closest atoms and distances in Å follow each position.
Fractional positions:
La 0.0000 0.0000 0.0000  5 Si 3.19-3.30, 5 Cu 3.22-3.28, 4 La 3.29
Cu 0.2948 0.2948 0.7052  4 Si 2.50-2.58
Si 0.7019 0.7019 0.2981  4 Cu 2.50-2.58

Computed properties:
Symmetry: No. 42

VASP calculation (PBE) on a relaxed structure of La3Cu7Si4.

Unit cell a=8.0074 b=8.0074 c=9.1931 alpha=123.87 beta=123.87 gamma=30.64
Closest atoms and distances in Å follow each position.
Fractional positions:
La 0.0000 0.0000 0.0000  10 Cu 3.02-3.37, 6 Si 3.05-3.15
La 0.3056 0.3056 0.3055  10 Cu 3.03-3.26, 4 Si 3.06-3.07
La 0.6944 0.6944 0.6945  10 Cu 3.03-3.26, 4 Si 3.06-3.07
Cu 0.0000 0.0000 0.5000  2 Si 2.46
Cu 0.1469 0.1469 0.8835  3 Si 2.44-2.60
Cu 0.3309 0.3309 0.6834  1 Cu 2.49, 4 Si 2.54-2.75
Cu 0.4969 0.4969 0.2829  3 Si 2.46-2.62, 1 Cu 2.49
Cu 0.5031 0.5031 0.7171  3 Si 2.46-2.62, 1 Cu 2.49
Cu 0.6691 0.6691 0.3166  1 Cu 2.49, 4 Si 2.54-2.75
Cu 0.8531 0.8531 0.1165  3 Si 2.44-2.60
Si 0.1196 0.1196 0.4047  6 Cu 2.46-2.75
Si 0.3399 0.3399 0.9721  5 Cu 2.44-2.60
Si 0.6601 0.6601 0.0279  5 Cu 2.44-2.60
Si 0.8804 0.8804 0.5953  6 Cu 2.46-2.75

Computed properties:
Symmetry: No. 12

Energy relative to the elements, uncorrected values, unit eV per atom, following the record order: -0.605; -0.389; -0.297; 0.263; -0.352; -0.424; -0.250; -0.675; -0.306; -0.041; -0.141; -0.395.
DOS at the Fermi energy values, unit states/eV/atom, following the record order: 0.67; 0.28; 1.17; 0.51; 0.47; 0.70; 0.74; 0.51; 0.67; 0.51; 1.13; 0.44.